#A
Entry from the Alexandria database: a relaxed structure of SmY3Er3 (PBE-GGA).

Cell and atoms, written as POSCAR:
```
SmY3Er3
1.0
-5.791 0.851 1.938
-4.476 -3.791 -1.901
-0.954 -9.460 11.108
Sm Y Er
2 6 6
direct
0.667 0.667 0.000 Sm
0.333 0.333 0.000 Sm
0.932 0.266 0.203 Y
0.599 0.932 0.203 Y
0.266 0.599 0.203 Y
0.734 0.401 0.797 Y
0.401 0.068 0.797 Y
0.068 0.734 0.797 Y
0.198 0.866 0.401 Er
0.535 0.198 0.401 Er
0.866 0.535 0.401 Er
0.134 0.465 0.599 Er
0.465 0.802 0.599 Er
0.802 0.134 0.599 Er
```

Summary:
- Fermi-level density of states (states/eV per atom) = 1.54
- spin magnetization (μB/f.u.) = 0.00

#B
Entry from the Alexandria database: a relaxed structure of SmY3Er3 (PBE-GGA).

Cell and atoms, written as POSCAR:
```
SmY3Er3
1.0
8.214 0.000 0.000
-2.738 5.681 0.000
-2.738 -2.840 4.920
Sm Y Er
1 3 3
direct
0.562 0.000 0.000 Sm
0.014 0.600 0.600 Y
0.415 0.000 0.400 Y
0.415 0.400 0.000 Y
0.624 0.651 0.651 Er
0.973 0.000 0.349 Er
0.973 0.349 0.000 Er
```

Summary:
- Fermi-level density of states (states/eV per atom) = 1.62
- spin magnetization (μB/f.u.) = 0.00

Of them, #A has the highest stability.

#A
Entry from the Alexandria database: a relaxed structure of Sm3YEr2 (PBE-GGA).

Cell and atoms, written as POSCAR:
```
Sm3YEr2
1.0
5.637 0.000 0.000
0.000 8.374 -3.226
0.000 -0.254 8.970
Sm Y Er
6 2 4
direct
0.993 0.888 0.375 Sm
0.493 0.625 0.112 Sm
0.993 0.375 0.888 Sm
0.493 0.112 0.625 Sm
0.493 0.912 0.912 Sm
0.993 0.088 0.088 Sm
0.993 0.728 0.728 Y
0.493 0.272 0.272 Y
0.493 0.705 0.492 Er
0.993 0.508 0.295 Er
0.493 0.492 0.705 Er
0.993 0.295 0.508 Er
```

Summary:
- Fermi-level density of states (states/eV per atom) = 1.57
- spin magnetization (μB/f.u.) = 0.00

#B
Entry from the Alexandria database: a relaxed structure of Sm3YEr2 (PBE-GGA).

Cell and atoms, written as POSCAR:
```
Sm3YEr2
1.0
3.554 0.000 0.000
0.000 9.557 1.264
0.000 -0.705 11.511
Sm Y Er
6 2 4
direct
0.750 0.924 0.119 Sm
0.250 0.076 0.881 Sm
0.750 0.761 0.860 Sm
0.250 0.239 0.140 Sm
0.250 0.401 0.397 Sm
0.750 0.599 0.603 Sm
0.250 0.758 0.354 Y
0.750 0.242 0.646 Y
0.250 0.442 0.857 Er
0.750 0.558 0.143 Er
0.750 0.081 0.380 Er
0.250 0.919 0.620 Er
```

Summary:
- Fermi-level density of states (states/eV per atom) = 1.51
- spin magnetization (μB/f.u.) = 0.00

Of them, #B has the highest stability.

#A
Entry from the Alexandria database: a relaxed structure of Sm2YEr7 (PBE-GGA).

Cell and atoms, written as POSCAR:
```
Sm2YEr7
1.0
5.084 1.714 -0.727
2.684 7.541 -3.783
-1.557 0.020 9.279
Sm Y Er
2 1 7
direct
0.500 0.699 0.397 Sm
0.500 0.301 0.603 Sm
0.000 0.000 0.000 Y
0.001 0.800 0.600 Er
0.999 0.200 0.400 Er
0.750 0.642 0.783 Er
0.250 0.358 0.217 Er
0.750 0.859 0.217 Er
0.250 0.141 0.783 Er
0.500 0.500 0.000 Er
```

Summary:
- Fermi-level density of states (states/eV per atom) = 1.84
- spin magnetization (μB/f.u.) = 0.00

#B
Entry from the Alexandria database: a relaxed structure of Sm2YEr7 (PBE-GGA).

Cell and atoms, written as POSCAR:
```
Sm2YEr7
1.0
-3.340 -0.813 0.700
4.033 -5.340 13.042
-4.483 10.488 -9.207
Sm Y Er
2 1 7
direct
0.500 0.709 0.291 Sm
0.500 0.291 0.709 Sm
0.000 0.000 0.000 Y
0.000 0.815 0.185 Er
0.000 0.185 0.815 Er
0.500 0.148 0.345 Er
0.500 0.852 0.655 Er
0.500 0.345 0.148 Er
0.500 0.655 0.852 Er
0.500 0.500 0.500 Er
```

Summary:
- Fermi-level density of states (states/eV per atom) = 1.44
- spin magnetization (μB/f.u.) = 0.00

Of them, #A has the highest stability.

#A
Entry from the Alexandria database: a relaxed structure of Sm8YEr6 (PBE-GGA).

Cell and atoms, written as POSCAR:
```
Sm8YEr6
1.0
-1.892 -4.200 7.801
-6.025 -6.764 0.157
2.440 -8.207 1.434
Sm Y Er
8 1 6
direct
0.251 0.282 0.578 Sm
0.718 0.112 0.422 Sm
0.112 0.749 0.422 Sm
0.577 0.577 0.268 Sm
0.423 0.423 0.732 Sm
0.888 0.251 0.578 Sm
0.282 0.888 0.578 Sm
0.749 0.718 0.422 Sm
0.000 0.000 0.000 Y
0.461 0.901 0.883 Er
0.099 0.245 0.117 Er
0.245 0.539 0.117 Er
0.755 0.461 0.883 Er
0.901 0.755 0.883 Er
0.539 0.099 0.117 Er
```

Summary:
- Fermi-level density of states (states/eV per atom) = 1.57
- spin magnetization (μB/f.u.) = 0.00

#B
Entry from the Alexandria database: a relaxed structure of Sm8YEr6 (PBE-GGA).

Cell and atoms, written as POSCAR:
```
Sm8YEr6
1.0
6.494 0.000 0.000
0.000 8.124 -4.690
0.000 0.000 9.380
Sm Y Er
8 1 6
direct
0.834 0.036 0.287 Sm
0.834 0.713 0.749 Sm
0.834 0.251 0.964 Sm
0.166 0.964 0.713 Sm
0.166 0.287 0.251 Sm
0.166 0.749 0.036 Sm
0.878 0.333 0.667 Sm
0.122 0.667 0.333 Sm
0.500 0.000 0.000 Y
0.659 0.655 0.094 Er
0.659 0.906 0.561 Er
0.659 0.439 0.345 Er
0.341 0.345 0.906 Er
0.341 0.094 0.439 Er
0.341 0.561 0.655 Er
```

Summary:
- Fermi-level density of states (states/eV per atom) = 1.51
- spin magnetization (μB/f.u.) = 0.00

Of them, #A has the highest stability.

#A
Entry from the Alexandria database: a relaxed structure of SmY3Er2 (PBE-GGA).

Cell and atoms, written as POSCAR:
```
SmY3Er2
1.0
-4.967 -3.185 1.761
-2.399 0.035 -6.705
5.419 -7.492 1.804
Sm Y Er
2 6 4
direct
0.750 0.126 0.000 Sm
0.250 0.874 0.000 Sm
0.250 0.376 0.000 Y
0.750 0.624 0.000 Y
0.084 0.293 0.335 Y
0.416 0.958 0.665 Y
0.584 0.042 0.335 Y
0.916 0.707 0.665 Y
0.583 0.543 0.335 Er
0.083 0.792 0.335 Er
0.917 0.208 0.665 Er
0.417 0.457 0.665 Er
```

Summary:
- Fermi-level density of states (states/eV per atom) = 1.47
- spin magnetization (μB/f.u.) = 0.00

#B
Entry from the Alexandria database: a relaxed structure of SmY3Er2 (PBE-GGA).

Cell and atoms, written as POSCAR:
```
SmY3Er2
1.0
-0.769 -2.708 -2.087
0.545 -6.902 5.814
-12.368 -1.457 3.509
Sm Y Er
2 6 4
direct
0.439 0.478 0.645 Sm
0.561 0.522 0.355 Sm
0.039 0.134 0.788 Y
0.961 0.866 0.212 Y
0.600 0.826 0.974 Y
0.400 0.174 0.026 Y
0.741 0.814 0.705 Y
0.259 0.186 0.295 Y
0.818 0.479 0.885 Er
0.182 0.521 0.115 Er
0.658 0.152 0.532 Er
0.342 0.848 0.468 Er
```

Summary:
- Fermi-level density of states (states/eV per atom) = 1.76
- spin magnetization (μB/f.u.) = 0.00

Of them, #A has the highest stability.

#A
Entry from the Alexandria database: a relaxed structure of Sm5Y2Er2 (PBE-GGA).

Cell and atoms, written as POSCAR:
```
Sm5Y2Er2
1.0
3.512 0.000 0.000
-1.756 11.839 1.168
0.000 4.121 7.620
Sm Y Er
5 2 2
direct
0.220 0.439 0.205 Sm
0.780 0.561 0.795 Sm
0.055 0.111 0.558 Sm
0.945 0.889 0.442 Sm
0.000 0.000 0.000 Sm
0.176 0.353 0.684 Y
0.824 0.647 0.316 Y
0.399 0.798 0.865 Er
0.601 0.202 0.135 Er
```

Summary:
- Fermi-level density of states (states/eV per atom) = 1.68
- spin magnetization (μB/f.u.) = 0.00

#B
Entry from the Alexandria database: a relaxed structure of Sm5Y2Er2 (PBE-GGA).

Cell and atoms, written as POSCAR:
```
Sm5Y2Er2
1.0
11.856 0.000 0.000
0.000 6.754 0.000
-5.928 -3.377 7.447
Sm Y Er
10 4 4
direct
0.191 0.661 0.899 Sm
0.809 0.762 0.101 Sm
0.208 0.161 0.899 Sm
0.792 0.262 0.101 Sm
0.375 0.029 0.288 Sm
0.625 0.741 0.712 Sm
0.413 0.529 0.288 Sm
0.587 0.241 0.712 Sm
0.010 0.653 0.500 Sm
0.990 0.153 0.500 Sm
0.133 0.679 0.255 Y
0.867 0.424 0.745 Y
0.621 0.179 0.255 Y
0.379 0.924 0.745 Y
0.000 0.041 0.000 Er
0.500 0.541 0.000 Er
0.255 0.346 0.500 Er
0.745 0.846 0.500 Er
```

Summary:
- Fermi-level density of states (states/eV per atom) = 1.50
- spin magnetization (μB/f.u.) = 0.00

Of them, #A has the highest stability.

#A
Entry from the Alexandria database: a relaxed structure of Sm6Y3Er2 (PBE-GGA).

Cell and atoms, written as POSCAR:
```
Sm6Y3Er2
1.0
4.774 0.000 0.000
0.000 4.774 0.000
-2.387 -2.387 16.681
Sm Y Er
6 3 2
direct
0.119 0.619 0.239 Sm
0.619 0.119 0.239 Sm
0.881 0.381 0.761 Sm
0.381 0.881 0.761 Sm
0.695 0.695 0.389 Sm
0.305 0.305 0.611 Sm
0.000 0.000 0.000 Y
0.799 0.799 0.598 Y
0.201 0.201 0.402 Y
0.455 0.455 0.909 Er
0.545 0.545 0.091 Er
```

Summary:
- Fermi-level density of states (states/eV per atom) = 1.39
- spin magnetization (μB/f.u.) = 0.00

#B
Entry from the Alexandria database: a relaxed structure of Sm6Y3Er2 (PBE-GGA).

Cell and atoms, written as POSCAR:
```
Sm6Y3Er2
1.0
-3.606 -3.940 -1.962
-3.075 -3.108 3.641
-11.674 6.507 0.139
Sm Y Er
6 3 2
direct
0.909 0.909 0.274 Sm
0.091 0.091 0.726 Sm
0.813 0.813 0.561 Sm
0.187 0.187 0.439 Sm
0.625 0.625 0.124 Sm
0.375 0.375 0.876 Sm
0.000 0.000 0.000 Y
0.717 0.717 0.849 Y
0.283 0.283 0.151 Y
0.541 0.541 0.378 Er
0.459 0.459 0.622 Er
```

Summary:
- Fermi-level density of states (states/eV per atom) = 1.72
- spin magnetization (μB/f.u.) = 0.00

Of them, #B has the highest stability.

#A
Entry from the Alexandria database: a relaxed structure of Sm2Y7Er3 (PBE-GGA).

Cell and atoms, written as POSCAR:
```
Sm2Y7Er3
1.0
3.595 0.000 0.000
0.000 5.783 0.237
0.000 -1.973 18.583
Sm Y Er
2 7 3
direct
0.500 0.705 0.295 Sm
0.500 0.295 0.705 Sm
0.500 0.742 0.463 Y
0.500 0.258 0.537 Y
0.000 0.679 0.143 Y
0.000 0.000 0.000 Y
0.000 0.321 0.857 Y
0.500 0.817 0.822 Y
0.500 0.183 0.178 Y
0.500 0.500 0.000 Er
0.000 0.220 0.368 Er
0.000 0.780 0.632 Er
```

Summary:
- Fermi-level density of states (states/eV per atom) = 1.30
- spin magnetization (μB/f.u.) = 0.00

#B
Entry from the Alexandria database: a relaxed structure of Sm2Y7Er3 (PBE-GGA).

Cell and atoms, written as POSCAR:
```
Sm2Y7Er3
1.0
-0.552 1.738 5.186
-5.731 -2.271 0.151
4.503 -10.556 4.016
Sm Y Er
2 7 3
direct
0.500 0.596 0.278 Sm
0.500 0.404 0.722 Sm
0.500 0.235 0.455 Y
0.500 0.765 0.545 Y
0.000 0.442 0.177 Y
0.000 0.000 0.000 Y
0.000 0.558 0.823 Y
0.500 0.919 0.831 Y
0.500 0.081 0.169 Y
0.500 0.500 0.000 Er
0.000 0.946 0.343 Er
0.000 0.054 0.657 Er
```

Summary:
- Fermi-level density of states (states/eV per atom) = 1.73
- spin magnetization (μB/f.u.) = 0.00

Of them, #A has the highest stability.

#A
Entry from the Alexandria database: a relaxed structure of Sm2YEr2 (PBE-GGA).

Cell and atoms, written as POSCAR:
```
Sm2YEr2
1.0
-4.251 2.911 2.390
-1.846 -0.124 -3.133
-3.684 -14.921 4.876
Sm Y Er
4 2 4
direct
0.727 0.977 0.455 Sm
0.273 0.023 0.545 Sm
0.372 0.122 0.744 Sm
0.628 0.878 0.256 Sm
0.831 0.581 0.662 Y
0.169 0.419 0.338 Y
0.541 0.291 0.082 Er
0.947 0.197 0.893 Er
0.459 0.709 0.918 Er
0.053 0.803 0.107 Er
```

Summary:
- Fermi-level density of states (states/eV per atom) = 1.43
- spin magnetization (μB/f.u.) = 0.00

#B
Entry from the Alexandria database: a relaxed structure of Sm2YEr2 (PBE-GGA).

Cell and atoms, written as POSCAR:
```
Sm2YEr2
1.0
-4.890 7.508 -2.409
-5.378 -1.102 7.480
2.341 2.167 2.002
Sm Y Er
4 2 4
direct
0.130 0.630 0.000 Sm
0.630 0.870 0.000 Sm
0.870 0.370 0.000 Sm
0.370 0.130 0.000 Sm
0.000 0.000 0.000 Y
0.500 0.500 0.000 Y
0.331 0.831 0.500 Er
0.831 0.669 0.500 Er
0.669 0.169 0.500 Er
0.169 0.331 0.500 Er
```

Summary:
- Fermi-level density of states (states/eV per atom) = 0.75
- spin magnetization (μB/f.u.) = 0.00

Of them, #B has the highest stability.

#A
Entry from the Alexandria database: a relaxed structure of SmYErZn (PBE-GGA).

Cell and atoms, written as POSCAR:
```
SmYErZn
1.0
-4.706 -2.569 0.057
-0.132 -5.357 -0.158
-1.488 -2.774 4.340
Y Zn Sm Er
1 1 1 1
direct
0.750 0.750 0.750 Y
0.000 0.000 0.000 Zn
0.250 0.250 0.250 Sm
0.500 0.500 0.500 Er
```

Summary:
- Fermi-level density of states (states/eV per atom) = 1.27
- spin magnetization (μB/f.u.) = 0.00

#B
Entry from the Alexandria database: a relaxed structure of SmYErZn (PBE-GGA).

Cell and atoms, written as POSCAR:
```
SmYErZn
1.0
3.570 0.000 0.000
0.000 3.570 0.000
0.000 0.000 8.692
Sm Y Er Zn
1 1 1 1
direct
0.000 0.000 0.075 Sm
0.500 0.500 0.774 Y
0.500 0.500 0.368 Er
0.000 0.000 0.567 Zn
```

Summary:
- Fermi-level density of states (states/eV per atom) = 1.15
- spin magnetization (μB/f.u.) = 0.00

Of them, #B has the highest stability.

#A
Entry from the Alexandria database: a relaxed structure of SmEr2Zn (PBE-GGA).

Cell and atoms, written as POSCAR:
```
SmEr2Zn
1.0
-0.146 0.449 3.519
-0.604 -3.474 0.418
8.517 -1.418 0.534
Zn Sm Er
1 1 2
direct
0.500 0.500 0.000 Zn
0.500 0.500 0.500 Sm
0.000 0.000 0.797 Er
0.000 0.000 0.203 Er
```

Summary:
- Fermi-level density of states (states/eV per atom) = 1.11
- spin magnetization (μB/f.u.) = 0.00

#B
Entry from the Alexandria database: a relaxed structure of SmEr2Zn (PBE-GGA).

Cell and atoms, written as POSCAR:
```
SmEr2Zn
1.0
3.553 0.000 0.000
1.777 3.077 0.000
1.777 1.026 10.284
Zn Sm Er
1 1 2
direct
0.000 0.000 0.000 Zn
0.500 0.500 0.500 Sm
0.262 0.262 0.215 Er
0.738 0.738 0.785 Er
```

Summary:
- Fermi-level density of states (states/eV per atom) = 0.77
- spin magnetization (μB/f.u.) = 0.00

Of them, #A has the highest stability.